No. 1
# Pr12ZrIn3

A geometry-optimized Pr12ZrIn3 structure (GGA-PBE, Alexandria via LeMat-Bulk).

ΔE_f (eV per atom): -0.168
Energy (eV per atom): -4.800
Magnetization (Bohr magnetons per cell): 0.00

abc: 5.012 5.012 20.327
angles: 90.00 90.00 90.00
Positions (direct):
Pr  0.500  0.500  0.000
Pr  0.500  0.500  0.251
Pr  0.500  0.500  0.500
Pr  0.500  0.500  0.749
Pr  0.500  0.000  0.124
Pr  0.500  0.000  0.375
Pr  0.500  0.000  0.625
Pr  0.500  0.000  0.876
Pr  0.000  0.500  0.124
Pr  0.000  0.500  0.375
Pr  0.000  0.500  0.625
Pr  0.000  0.500  0.876
Zr  0.000  0.000  0.000
In  0.000  0.000  0.253
In  0.000  0.000  0.500
In  0.000  0.000  0.747

---

No. 2
# PrZrIn

A geometry-optimized PrZrIn structure (GGA-PBE, Alexandria via LeMat-Bulk).

Relative energy among the computed polymorphs (meV per atom): 0
ΔE_f (eV per atom): -0.130
Energy (eV per atom): -5.486
Magnetization (Bohr magnetons per cell): 0.00

abc: 3.320 3.320 7.644
angles: 102.54 102.54 90.00
Positions (direct):
Pr  0.004  0.004  0.008
Zr  0.320  0.320  0.640
In  0.676  0.676  0.352

---

No. 3
# PrZrIn

A geometry-optimized PrZrIn structure (GGA-PBE, Alexandria via LeMat-Bulk).

Relative energy among the computed polymorphs (meV per atom): 196
ΔE_f (eV per atom): 0.065
Energy (eV per atom): -5.290
Magnetization (Bohr magnetons per cell): 0.00

abc: 3.191 5.293 5.293
angles: 120.00 90.00 90.00
Positions (direct):
Pr  0.168  0.000  0.000
Zr  0.165  0.333  0.667
In  0.668  0.667  0.333

---

No. 4
# Pr2ZrIn

A geometry-optimized Pr2ZrIn structure (GGA-PBE, Alexandria via LeMat-Bulk).

Relative energy among the computed polymorphs (meV per atom): 0
ΔE_f (eV per atom): -0.146
Energy (eV per atom): -5.358
Magnetization (Bohr magnetons per cell): 0.00

abc: 4.906 4.790 4.790
angles: 90.00 90.00 90.00
Positions (direct):
Pr  0.000  0.000  0.500
Pr  0.000  0.500  0.000
Zr  0.500  0.500  0.500
In  0.500  0.000  0.000

---

No. 5
# Pr2ZrIn

A geometry-optimized Pr2ZrIn structure (GGA-PBE, Alexandria via LeMat-Bulk).

Relative energy among the computed polymorphs (meV per atom): 366
ΔE_f (eV per atom): 0.219
Energy (eV per atom): -4.992
Magnetization (Bohr magnetons per cell): 0.12

abc: 3.355 3.355 12.241
angles: 82.12 82.12 60.00
Positions (direct):
Pr  0.088  0.088  0.735
Pr  0.912  0.912  0.265
Zr  0.000  0.000  0.000
In  0.500  0.500  0.500

---

No. 6
# PrZr2In

A geometry-optimized PrZr2In structure (GGA-PBE, Alexandria via LeMat-Bulk).

Relative energy among the computed polymorphs (meV per atom): 315
ΔE_f (eV per atom): 0.200
Energy (eV per atom): -5.953
Magnetization (Bohr magnetons per cell): 0.00

abc: 3.220 3.220 11.681
angles: 82.08 82.08 60.00
Positions (direct):
Pr  0.000  0.000  0.000
Zr  0.093  0.093  0.722
Zr  0.907  0.907  0.278
In  0.500  0.500  0.500

---

No. 7
# PrZr2In

A geometry-optimized PrZr2In structure (GGA-PBE, Alexandria via LeMat-Bulk).

Relative energy among the computed polymorphs (meV per atom): 0
ΔE_f (eV per atom): -0.114
Energy (eV per atom): -6.268
Magnetization (Bohr magnetons per cell): 0.00

abc: 4.586 4.675 4.675
angles: 90.00 90.00 90.00
Positions (direct):
Pr  0.500  0.500  0.500
Zr  0.000  0.000  0.500
Zr  0.000  0.500  0.000
In  0.500  0.000  0.000

---

No. 8
# InPt4

A geometry-optimized InPt4 structure (GGA-PBE, Alexandria via LeMat-Bulk).

Relative energy among the computed polymorphs (meV per atom): 804
ΔE_f (eV per atom): 0.556
Energy (eV per atom): -4.824
Magnetization (Bohr magnetons per cell): 0.00

abc: 5.128 5.128 5.128
angles: 109.47 109.47 109.47
Positions (direct):
In  0.000  0.000  0.000
Pt  0.500  0.000  0.000
Pt  0.500  0.500  0.500
Pt  0.000  0.500  0.000
Pt  0.000  0.000  0.500

---

No. 9
# In4Pt

A geometry-optimized In4Pt structure (GGA-PBE, Alexandria via LeMat-Bulk).

ΔE_f (eV per atom): -0.092
Energy (eV per atom): -3.491
Magnetization (Bohr magnetons per cell): 0.00

abc: 5.542 5.542 5.542
angles: 109.47 109.47 109.47
Positions (direct):
In  0.500  0.000  0.000
In  0.500  0.500  0.500
In  0.000  0.500  0.000
In  0.000  0.000  0.500
Pt  0.000  0.000  0.000

---

No. 10
# In4Pt

A geometry-optimized In4Pt structure (GGA-PBE, Alexandria via LeMat-Bulk).

ΔE_f (eV per atom): 0.236
Energy (eV per atom): -3.163
Magnetization (Bohr magnetons per cell): 0.00

abc: 8.851 8.851 8.851
angles: 154.38 154.38 36.55
Positions (direct):
In  0.750  0.250  0.500
In  0.415  0.415  0.000
In  0.585  0.585  0.000
In  0.250  0.750  0.500
Pt  0.000  0.000  0.000

---

No. 11
# In7Pt

A geometry-optimized In7Pt structure (GGA-PBE, Alexandria via LeMat-Bulk).

ΔE_f (eV per atom): 0.031
Energy (eV per atom): -3.121
Magnetization (Bohr magnetons per cell): 0.00

abc: 6.486 6.486 6.486
angles: 60.00 60.00 60.00
Positions (direct):
In  0.500  0.000  0.000
In  0.000  0.000  0.500
In  0.500  0.000  0.500
In  0.000  0.500  0.000
In  0.500  0.500  0.000
In  0.000  0.500  0.500
In  0.500  0.500  0.500
Pt  0.000  0.000  0.000

---

No. 12
# InPt4

A geometry-optimized InPt4 structure (GGA-PBE, Alexandria via LeMat-Bulk).

Relative energy among the computed polymorphs (meV per atom): 0
ΔE_f (eV per atom): -0.247
Energy (eV per atom): -5.628
Magnetization (Bohr magnetons per cell): 0.00

abc: 4.229 5.619 7.864
angles: 110.93 105.60 90.00
Positions (direct):
In  0.895  0.145  0.790
In  0.105  0.855  0.210
Pt  0.101  0.351  0.203
Pt  0.899  0.649  0.797
Pt  0.500  0.000  0.000
Pt  0.500  0.500  0.000
Pt  0.693  0.200  0.386
Pt  0.307  0.800  0.614
Pt  0.307  0.314  0.614
Pt  0.693  0.686  0.386

---

No. 13
# In3Pt

A geometry-optimized In3Pt structure (GGA-PBE, Alexandria via LeMat-Bulk).

ΔE_f (eV per atom): -0.187
Energy (eV per atom): -3.751
Magnetization (Bohr magnetons per cell): 0.00

abc: 9.589 4.301 14.971
angles: 90.00 169.92 90.00
Positions (direct):
In  0.132  0.000  0.036
In  0.368  0.000  0.964
In  0.750  0.500  0.000
Pt  0.250  0.500  0.000

---

No. 14
# In2Pt

A geometry-optimized In2Pt structure (GGA-PBE, Alexandria via LeMat-Bulk).

ΔE_f (eV per atom): -0.335
Energy (eV per atom): -4.174
Magnetization (Bohr magnetons per cell): 0.00

abc: 3.600 6.604 6.637
angles: 90.00 90.00 90.00
Positions (direct):
In  0.000  0.286  0.283
In  0.500  0.214  0.783
In  0.500  0.786  0.217
In  0.000  0.714  0.717
Pt  0.000  0.000  0.000
Pt  0.500  0.500  0.500

---

No. 15
# InPt2

A geometry-optimized InPt2 structure (GGA-PBE, Alexandria via LeMat-Bulk).

ΔE_f (eV per atom): -0.284
Energy (eV per atom): -5.224
Magnetization (Bohr magnetons per cell): 0.00

abc: 6.092 6.092 6.092
angles: 151.48 151.48 40.78
Positions (direct):
In  0.000  0.000  0.000
Pt  0.336  0.336  0.000
Pt  0.664  0.664  0.000

---

No. 16
# In3Pt2

A geometry-optimized In3Pt2 structure (GGA-PBE, Alexandria via LeMat-Bulk).

ΔE_f (eV per atom): -0.304
Energy (eV per atom): -4.364
Magnetization (Bohr magnetons per cell): 0.00

abc: 9.270 6.989 6.991
angles: 83.07 48.46 48.47
Positions (direct):
In  0.411  0.323  0.825
In  0.441  0.825  0.323
In  0.927  0.839  0.809
In  0.425  0.809  0.839
In  0.798  0.202  0.202
In  0.048  0.452  0.452
Pt  0.425  0.486  0.163
Pt  0.925  0.163  0.486
Pt  0.764  0.825  0.325
Pt  0.087  0.325  0.825

---

No. 17
# InPt3

A geometry-optimized InPt3 structure (GGA-PBE, Alexandria via LeMat-Bulk).

ΔE_f (eV per atom): -0.296
Energy (eV per atom): -5.511
Magnetization (Bohr magnetons per cell): 0.00

abc: 4.774 4.774 3.055
angles: 90.00 90.00 106.21
Positions (direct):
Pt  0.000  0.500  0.500
Pt  0.500  0.000  0.500
Pt  0.500  0.500  0.000
In  0.000  0.000  0.000

---

No. 18
# In5Pt

A geometry-optimized In5Pt structure (GGA-PBE, Alexandria via LeMat-Bulk).

ΔE_f (eV per atom): 0.318
Energy (eV per atom): -2.971
Magnetization (Bohr magnetons per cell): 0.00

abc: 6.011 6.011 6.011
angles: 60.00 60.00 60.00
Positions (direct):
In  0.877  0.374  0.374
In  0.750  0.750  0.750
In  0.374  0.877  0.374
In  0.374  0.374  0.374
In  0.374  0.374  0.877
Pt  0.000  0.000  0.000

---

No. 19
# In3Pt

A geometry-optimized In3Pt structure (GGA-PBE, Alexandria via LeMat-Bulk).

ΔE_f (eV per atom): -0.302
Energy (eV per atom): -3.866
Magnetization (Bohr magnetons per cell): 0.00

abc: 7.378 8.244 5.942
angles: 90.00 90.00 90.00
Positions (direct):
In  0.008  0.250  0.899
In  0.177  0.057  0.352
In  0.177  0.443  0.352
In  0.323  0.557  0.852
In  0.323  0.943  0.852
In  0.492  0.750  0.399
In  0.508  0.250  0.601
In  0.677  0.057  0.148
In  0.677  0.443  0.148
In  0.823  0.557  0.648
In  0.823  0.943  0.648
In  0.992  0.750  0.101
Pt  0.128  0.750  0.543
Pt  0.372  0.250  0.043
Pt  0.628  0.750  0.957
Pt  0.872  0.250  0.457

---

No. 20
# InPt3

A geometry-optimized InPt3 structure (GGA-PBE, Alexandria via LeMat-Bulk).

ΔE_f (eV per atom): -0.268
Energy (eV per atom): -5.483
Magnetization (Bohr magnetons per cell): 0.00

abc: 4.931 4.931 11.464
angles: 150.08 150.08 35.31
Positions (direct):
In  0.000  0.000  0.000
Pt  0.002  0.002  0.254
Pt  0.000  0.000  0.500
Pt  0.998  0.998  0.746